Rb4IrBr2: relaxed, PBE-GGA.

a b c (Å): 6.111 6.111 10.133
angles (deg): 72.45 72.45 90.00
Site moments in Bohr magnetons follow the coordinates.
Atoms (fractional coordinates):
1 Ir 0.000 0.000 0.000  0.94
2 Br 0.641 0.641 0.719  0.00
3 Br 0.359 0.359 0.281  0.00
4 Rb 0.824 0.824 0.351  0.00
5 Rb 0.176 0.176 0.649  0.00
6 Rb 0.000 0.500 0.000  0.02
7 Rb 0.500 0.000 0.000  0.02

Computed properties:
- Raw formation energy: -3.14 eV/f.u.
- SG: I4/mmm (139)

Fe5Ni2Rh4: relaxed, PBE-GGA.

a b c (Å): 2.629 6.433 8.467
angles (deg): 86.25 90.00 90.00
Site moments in Bohr magnetons follow the coordinates.
Atoms (fractional coordinates):
1 Fe 0.000 0.425 0.293  2.84
2 Fe 0.000 0.805 0.167  2.85
3 Fe 0.000 0.500 0.000  2.68
4 Fe 0.000 0.195 0.833  2.85
5 Fe 0.000 0.575 0.707  2.84
6 Ni 0.000 0.944 0.635  0.81
7 Ni 0.000 0.056 0.365  0.81
8 Rh 0.500 0.291 0.560  0.62
9 Rh 0.500 0.833 0.895  0.49
10 Rh 0.500 0.709 0.440  0.62
11 Rh 0.500 0.167 0.105  0.49

Computed properties:
- SG: P2/m (10)
- Formation energy from the elements: 46 meV/atom

LaPmScTl: relaxed, PBE-GGA.

a b c (Å): 5.482 5.482 5.482
angles (deg): 60.00 60.00 60.00
Site moments in Bohr magnetons follow the coordinates.
Atoms (fractional coordinates):
1 Sc 0.750 0.750 0.750  0.37
2 Tl 0.000 0.000 0.000  -0.01
3 La 0.250 0.250 0.250  0.17
4 Pm 0.500 0.500 0.500  0.41

Computed properties:
- SG: F-43m (216)
- Formation energy from the elements: -30 meV/atom

Ho8Ga3Bi2: relaxed, PBE-GGA.

a b c (Å): 4.965 10.044 9.038
angles (deg): 123.76 90.01 90.00
Atoms (fractional coordinates):
1 Ho 0.000 0.611 0.221
2 Ho 0.000 0.389 0.779
3 Ho 0.000 0.118 0.235
4 Ho 0.000 0.882 0.765
5 Ho 0.500 0.643 0.771
6 Ho 0.500 0.128 0.771
7 Ho 0.500 0.872 0.229
8 Ho 0.500 0.357 0.229
9 Ga 0.500 0.000 0.000
10 Ga 0.000 0.258 0.000
11 Ga 0.000 0.742 0.000
12 Bi 0.500 0.260 0.520
13 Bi 0.500 0.740 0.480

Computed properties:
- SG: Cmmm (65)
- Formation energy from the elements: -400 meV/atom

Ag3H12Pd5: relaxed, PBE-GGA.

a b c (Å): 9.883 9.883 9.883
angles (deg): 109.47 109.47 109.47
Atoms (fractional coordinates):
1 Ag 0.750 0.375 0.125
2 Ag 0.875 0.750 0.125
3 Ag 0.375 0.750 0.625
4 Ag 0.250 0.125 0.375
5 Ag 0.875 0.125 0.250
6 Ag 0.375 0.625 0.250
7 Ag 0.625 0.375 0.750
8 Ag 0.125 0.875 0.750
9 Ag 0.750 0.875 0.625
10 Ag 0.625 0.250 0.375
11 Ag 0.125 0.250 0.875
12 Ag 0.250 0.625 0.875
13 Pd 0.125 0.375 0.250
14 Pd 0.000 0.500 0.000
15 Pd 0.000 0.000 0.000
16 Pd 0.375 0.250 0.125
17 Pd 0.500 0.000 0.500
18 Pd 0.500 0.500 0.000
19 Pd 0.125 0.750 0.375
20 Pd 0.750 0.125 0.875
21 Pd 0.750 0.625 0.375
22 Pd 0.375 0.125 0.750
23 Pd 0.625 0.875 0.250
24 Pd 0.500 0.500 0.500
25 Pd 0.500 0.000 0.000
26 Pd 0.000 0.000 0.500
27 Pd 0.250 0.375 0.625
28 Pd 0.250 0.875 0.125
29 Pd 0.000 0.500 0.500
30 Pd 0.875 0.250 0.625
31 Pd 0.625 0.750 0.875
32 Pd 0.875 0.625 0.750
33 H 0.689 0.132 0.023
34 H 0.334 0.523 0.391
35 H 0.977 0.368 0.311
36 H 0.523 0.189 0.132
37 H 0.556 0.689 0.666
38 H 0.977 0.609 0.166
39 H 0.334 0.811 0.444
40 H 0.109 0.944 0.132
41 H 0.609 0.977 0.666
42 H 0.689 0.556 0.166
43 H 0.811 0.477 0.368
44 H 0.834 0.891 0.023
45 H 0.132 0.689 0.523
46 H 0.368 0.391 0.056
47 H 0.056 0.891 0.368
48 H 0.444 0.132 0.609
49 H 0.056 0.166 0.189
50 H 0.477 0.666 0.109
51 H 0.834 0.944 0.311
52 H 0.132 0.444 0.109
53 H 0.368 0.977 0.811
54 H 0.609 0.632 0.444
55 H 0.891 0.834 0.523
56 H 0.811 0.334 0.944
57 H 0.391 0.368 0.556
58 H 0.109 0.166 0.477
59 H 0.189 0.666 0.056
60 H 0.166 0.056 0.689
61 H 0.632 0.023 0.189
62 H 0.868 0.556 0.891
63 H 0.523 0.334 0.891
64 H 0.556 0.868 0.391
65 H 0.944 0.834 0.811
66 H 0.944 0.109 0.632
67 H 0.868 0.311 0.477
68 H 0.166 0.109 0.977
69 H 0.632 0.609 0.944
70 H 0.391 0.023 0.334
71 H 0.311 0.444 0.834
72 H 0.189 0.523 0.632
73 H 0.891 0.056 0.868
74 H 0.666 0.189 0.556
75 H 0.477 0.811 0.868
76 H 0.023 0.391 0.834
77 H 0.444 0.311 0.334
78 H 0.023 0.632 0.689
79 H 0.666 0.477 0.609
80 H 0.311 0.868 0.977

Computed properties:
- Energy: -3.641 eV per atom
- SG: Ia-3d (230)

Cs2GeP: relaxed, PBE-GGA.

a b c (Å): 5.748 3.888 8.200
angles (deg): 118.10 110.53 90.01
Atoms (fractional coordinates):
1 Cs 0.144 0.919 0.288
2 Cs 0.852 0.840 0.704
3 Ge 0.448 0.531 0.895
4 P 0.556 0.246 0.113

Computed properties:
- SG: Cm (8)
- Offset from the most stable computed form: 0.000 eV/atom
- Formation energy from the elements: -259 meV/atom

CrHg4Te: relaxed, PBE-GGA.

a b c (Å): 6.036 6.036 6.036
angles (deg): 60.00 60.00 60.00
Site moments in Bohr magnetons follow the coordinates.
Atoms (fractional coordinates):
1 Cr 0.000 0.000 0.000  4.14
2 Hg 0.875 0.375 0.375  -0.04
3 Hg 0.375 0.375 0.875  -0.04
4 Hg 0.375 0.875 0.375  -0.04
5 Hg 0.375 0.375 0.375  -0.04
6 Te 0.750 0.750 0.750  -0.18

Computed properties:
- Raw formation energy: 2.83 eV/f.u.
- SG: F-43m (216)

LuTiCdAg: relaxed, PBE-GGA.

a b c (Å): 4.919 4.919 4.919
angles (deg): 60.00 60.00 60.00
Site moments in Bohr magnetons follow the coordinates.
Atoms (fractional coordinates):
1 Lu 0.750 0.750 0.750  0.13
2 Ti 0.250 0.250 0.250  1.03
3 Ag 0.000 0.000 0.000  0.03
4 Cd 0.500 0.500 0.500  0.01

Computed properties:
- SG: F-43m (216)
- Formation energy from the elements: -39 meV/atom

CsRbZnHSe: relaxed, PBE-GGA.

a b c (Å): 5.996 5.145 6.026
angles (deg): 90.00 116.56 90.00
Atoms (fractional coordinates):
1 Cs 0.969 0.500 0.467
2 Rb 0.601 0.000 0.838
3 Zn 0.316 0.500 0.120
4 H 0.486 0.500 0.947
5 Se 0.253 0.000 0.187

Computed properties:
- SG: Pm (6)
- Offset from the most stable computed form: 0.000 eV/atom

Na3MoCl6: relaxed, PBE-GGA.

a b c (Å): 8.039 8.039 8.039
angles (deg): 90.92 90.92 90.92
Site moments in Bohr magnetons follow the coordinates.
Atoms (fractional coordinates):
1 Na 0.430 0.918 0.753  0.00
2 Na 0.918 0.753 0.430  0.00
3 Na 0.247 0.570 0.082  0.00
4 Na 0.753 0.430 0.918  0.00
5 Na 0.082 0.247 0.570  0.00
6 Na 0.570 0.082 0.247  0.00
7 Mo 0.000 0.000 0.000  2.48
8 Mo 0.500 0.500 0.500  2.47
9 Cl 0.290 0.932 0.079  0.01
10 Cl 0.068 0.921 0.710  0.01
11 Cl 0.574 0.795 0.453  0.01
12 Cl 0.921 0.710 0.068  0.01
13 Cl 0.453 0.574 0.795  0.01
14 Cl 0.205 0.547 0.426  0.01
15 Cl 0.795 0.453 0.574  0.01
16 Cl 0.547 0.426 0.205  0.01
17 Cl 0.079 0.290 0.932  0.01
18 Cl 0.426 0.205 0.547  0.01
19 Cl 0.932 0.079 0.290  0.01
20 Cl 0.710 0.068 0.921  0.01

Computed properties:
- Raw formation energy: -14.22 eV/f.u.
- SG: R-3 (148)

K2CaHgAu: relaxed, PBE-GGA.

a b c (Å): 6.245 5.789 6.245
angles (deg): 90.00 90.00 90.00
Atoms (fractional coordinates):
1 K 0.000 0.000 0.500
2 K 0.500 0.000 0.000
3 Ca 0.000 0.500 0.000
4 Au 0.000 0.000 0.000
5 Hg 0.500 0.500 0.500

Computed properties:
- SG: P4/mmm (123)
- Formation energy from the elements: -133 meV/atom

LaTa2Mn: relaxed, PBE-GGA.

a b c (Å): 4.844 4.844 4.844
angles (deg): 119.91 119.91 90.15
Site moments in Bohr magnetons follow the coordinates.
Atoms (fractional coordinates):
1 La 0.500 0.500 0.000  0.00
2 Mn 0.750 0.250 0.500  3.21
3 Ta 0.000 0.000 0.000  -0.16
4 Ta 0.250 0.750 0.500  0.18

Computed properties:
- SG: I-4m2 (119)
- Offset from the most stable computed form: 0.266 eV/atom
- Formation energy from the elements: 524 meV/atom